An optimized crystal structure of MgMoP2O8, computed with PBE with a Hubbard U.

a = 5.5027 Å, b = 5.5027 Å, c = 5.5027 Å
α = 106.52°, β = 106.52°, γ = 115.54°
Last column: nearest neighbours and their distance in Å.
Fractional coordinates of all 12 atoms:
O 0.3305 0.5116 0.1811  1 P 1.55
Mo 0.2500 0.7500 0.5000  8 O 2.15-2.27
O 0.4884 0.6695 0.8189  1 P 1.55
P 0.5000 0.5000 0.0000  4 O 1.55
O 0.9204 0.6004 0.6800  1 P 1.55
O 0.7595 0.0796 0.6800  1 P 1.55
Mg 0.0000 0.0000 0.0000  8 O 2.16-2.28
O 0.3996 0.0796 0.3200  1 P 1.55
O 0.9204 0.2405 0.3200  1 P 1.55
O 0.3305 0.1495 0.8189  1 P 1.55
P 0.7500 0.2500 0.5000  4 O 1.55
O 0.8505 0.6695 0.1811  1 P 1.55

Calculated total energy (eV per atom): -7.03
Magnetic moment (μB per atom): 0.17